Entry from the Alexandria database: Cr5Os after structural relaxation (PBE).

- Uncorrected energy: -9.6057 eV/atom
- E_form: 0.285 eV/atom
- Energy above the most stable polymorph in this dataset: 263 meV per atom
- Total moment: 0.000 μB per atom

Cell and atoms, written as CIF:
```
data_Cr5Os
_space_group_name_H-M_alt 'P -6 2 m'
_space_group_IT_number 189
_space_group_name_Hall 'P -6 -2'
_cell_length_a 4.4310
_cell_length_b 4.4310
_cell_length_c 4.3588
_cell_angle_alpha 90.00
_cell_angle_beta 90.00
_cell_angle_gamma 120.00
loop_
_atom_site_label
_atom_site_type_symbol
_atom_site_fract_x
_atom_site_fract_y
_atom_site_fract_z
Cr1 Cr 0.0000 0.6607 0.0000
Cr2 Cr 0.3333 0.6667 0.5000
Os1 Os 0.0000 0.0000 0.5000
```